1.
Density functional theory data (PBE) for a relaxed ReN crystal.

a b c (Å): 2.8394 2.8394 18.6498
angles (deg): 90.00 90.00 120.00
Space group R3m (No. 160, hexagonal axes)
One atom of each set of equivalent atoms:
1 Re 0.0000 0.0000 0.0000 (multiplicity 3)
2 Re 0.0000 0.0000 0.2111 (multiplicity 3)
3 N 0.0000 0.0000 0.4016 (multiplicity 3)
4 N 0.0000 0.0000 0.4751 (multiplicity 3)

Calculated values
- Raw formation energy: 0.136 eV/atom
- Energy above the most stable polymorph in this dataset: 92 meV per atom
- DOS at the Fermi energy: 1.22 states/eV/f.u.
- VASP energy: -10.251 eV per atom
- Magnetization: 0.000 μB per atom


2.
Density functional theory data (PBE) for a relaxed Ca5Rh2 crystal.

a b c (Å): 16.0936 6.4809 7.6385
angles (deg): 90.00 97.52 90.00
Space group C2/c (No. 15)
One atom of each set of equivalent atoms:
1 Ca 0.0000 0.0777 0.2500 (multiplicity 4)
2 Ca 0.0890 0.3860 0.9179 (multiplicity 8)
3 Ca 0.2172 0.0820 0.3231 (multiplicity 8)
4 Rh 0.1109 0.2108 0.5828 (multiplicity 8)

Calculated values
- DOS at the Fermi energy: 3.20 states/eV/f.u.
- VASP energy: -3.887 eV per atom
- Magnetization: 0.000 μB per atom


3.
Density functional theory data (PBE) for a relaxed Bi8Ir2Rh crystal.

a b c (Å): 14.8591 8.3560 5.3010
angles (deg): 90.00 92.10 90.00
Space group C2/m (No. 12)
One atom of each set of equivalent atoms:
1 Bi 0.0726 0.2359 0.2489 (multiplicity 8)
2 Bi 0.1407 0.0000 0.7140 (multiplicity 4)
3 Bi 0.1620 0.5000 0.7684 (multiplicity 4)
4 Ir 0.1800 0.5000 0.2703 (multiplicity 4)
5 Rh 0.0000 0.5000 0.5000 (multiplicity 2)

Calculated values
- DOS at the Fermi energy: 7.84 states/eV/f.u.
- VASP energy: -4.947 eV per atom
- Magnetization: 0.000 μB per atom


4.
Density functional theory data (PBE) for a relaxed Cs2Pu3TlF12 crystal.

a b c (Å): 8.8400 8.8400 19.4451
angles (deg): 90.00 90.00 120.00
Space group R-3m (No. 166, hexagonal axes)
One atom of each set of equivalent atoms:
1 Cs 0.0000 0.0000 0.1262 (multiplicity 6)
2 Pu 0.0000 0.5000 0.0000 (multiplicity 9)
3 Tl 0.0000 0.0000 0.5000 (multiplicity 3)
4 F 0.0332 0.5166 0.8868 (multiplicity 18)
5 F 0.0802 0.5401 0.3205 (multiplicity 18)

Calculated values
- Raw formation energy: -3.193 eV/atom
- DOS at the Fermi energy: 13.32 states/eV/f.u.
- VASP energy: -7.055 eV per atom
- Magnetization: 0.833 μB per atom


5.
Density functional theory data (PBE) for a relaxed InAsW2 crystal.

a b c (Å): 3.9503 3.9503 4.6061
angles (deg): 90.00 90.00 90.00
Space group P4/mmm (No. 123)
One atom of each set of equivalent atoms:
1 In 0.0000 0.0000 0.0000 (multiplicity 1)
2 As 0.5000 0.5000 0.0000 (multiplicity 1)
3 W 0.0000 0.5000 0.5000 (multiplicity 2)

Calculated values
- Energy above the most stable polymorph in this dataset: 678 meV per atom
- DOS at the Fermi energy: 3.16 states/eV/f.u.
- VASP energy: -7.421 eV per atom
- Magnetization: 0.000 μB per atom


6.
Density functional theory data (PBE) for a relaxed Th8Co2Os crystal.

a b c (Å): 7.8524 13.2914 6.1744
angles (deg): 90.00 110.07 90.00
Space group Cm (No. 8)
One atom of each set of equivalent atoms:
1 Th 0.0000 0.0000 0.0000 (multiplicity 2)
2 Th 0.0906 0.3698 0.7896 (multiplicity 4)
3 Th 0.1208 0.1292 0.5626 (multiplicity 4)
4 Th 0.2093 0.5000 0.3609 (multiplicity 2)
5 Th 0.3318 0.2057 0.1723 (multiplicity 4)
6 Co 0.3738 0.2943 0.6956 (multiplicity 4)
7 Os 0.3563 0.0000 0.3996 (multiplicity 2)

Calculated values
- DOS at the Fermi energy: 13.22 states/eV/f.u.
- VASP energy: -7.765 eV per atom
- Magnetization: 0.000 μB per atom


7.
Density functional theory data (PBE) for a relaxed Rb3Pr3UTe8 crystal.

a b c (Å): 9.2107 9.2107 26.2026
angles (deg): 90.00 90.00 120.00
Space group R-3m (No. 166, hexagonal axes)
One atom of each set of equivalent atoms:
1 Rb 0.0000 0.5000 0.0000 (multiplicity 9)
2 Pr 0.0000 0.5000 0.5000 (multiplicity 9)
3 U 0.0000 0.0000 0.5000 (multiplicity 3)
4 Te 0.0000 0.0000 0.2356 (multiplicity 6)
5 Te 0.0112 0.5056 0.2328 (multiplicity 18)

Calculated values
- Raw formation energy: -1.247 eV/atom
- DOS at the Fermi energy: 5.22 states/eV/f.u.
- VASP energy: -4.825 eV per atom
- Magnetization: 0.133 μB per atom


8.
Density functional theory data (PBE) for a relaxed Li2ZrCuF crystal.

a b c (Å): 3.7440 3.7440 6.2615
angles (deg): 90.00 90.00 90.00
Space group P4/mmm (No. 123)
One atom of each set of equivalent atoms:
1 Li 0.0000 0.5000 0.0000 (multiplicity 2)
2 Zr 0.0000 0.0000 0.5000 (multiplicity 1)
3 Cu 0.5000 0.5000 0.5000 (multiplicity 1)
4 F 0.5000 0.5000 0.0000 (multiplicity 1)

Calculated values
- Raw formation energy: -0.592 eV/atom
- DOS at the Fermi energy: 3.23 states/eV/f.u.
- VASP energy: -4.261 eV per atom
- Magnetization: 0.212 μB per atom